(1)
An optimized crystal structure of NbVSb2, computed with PBE-GGA.

ΔE_f (raw): 0.077 eV/atom
Energy relative to the lowest polymorph listed for this composition: 0.000 eV/atom
N(E_F): 16.5 states/eV/cell

a = 6.749 Å, b = 6.749 Å, c = 6.749 Å
α = 90.00°, β = 90.00°, γ = 90.00°
Atoms (fractional coordinates):
Nb 0.000 0.000 0.000
Nb 0.000 0.500 0.500
Nb 0.500 0.000 0.500
Nb 0.500 0.500 0.000
V 0.000 0.000 0.500
V 0.000 0.500 0.000
V 0.500 0.000 0.000
V 0.500 0.500 0.500
Sb 0.250 0.250 0.250
Sb 0.250 0.250 0.750
Sb 0.250 0.750 0.250
Sb 0.250 0.750 0.750
Sb 0.750 0.250 0.250
Sb 0.750 0.250 0.750
Sb 0.750 0.750 0.250
Sb 0.750 0.750 0.750



(2)
An optimized crystal structure of CaTl2Cd2Hg7, computed with PBE-GGA.

Energy of formation: -0.116 eV/atom
N(E_F): 2.6 states/eV/cell

a = 4.557 Å, b = 4.557 Å, c = 16.228 Å
α = 97.68°, β = 97.68°, γ = 90.13°
Atoms (fractional coordinates):
Ca 0.000 0.000 0.000
Tl 0.151 0.151 0.328
Tl 0.849 0.849 0.672
Cd 0.367 0.367 0.712
Cd 0.633 0.633 0.288
Hg 0.069 0.568 0.152
Hg 0.265 0.265 0.527
Hg 0.432 0.931 0.848
Hg 0.500 0.500 0.000
Hg 0.568 0.069 0.152
Hg 0.735 0.735 0.473
Hg 0.931 0.432 0.848



(3)
An optimized crystal structure of AcHoTe, computed with PBE-GGA.

ΔE_f (raw): -0.752 eV/atom
Energy relative to the lowest polymorph listed for this composition: 0.008 eV/atom
N(E_F): 11.7 states/eV/cell

a = 6.629 Å, b = 7.384 Å, c = 9.666 Å
α = 103.85°, β = 107.24°, γ = 103.56°
Atoms (fractional coordinates):
Ac 0.000 0.000 0.000
Ac 0.069 0.650 0.663
Ac 0.719 0.254 0.266
Ac 0.881 0.807 0.329
Ho 0.321 0.484 0.357
Ho 0.416 0.498 0.985
Ho 0.452 0.120 0.563
Ho 0.907 0.469 0.981
Te 0.340 0.824 0.229
Te 0.487 0.086 0.885
Te 0.570 0.570 0.715
Te 0.955 0.174 0.677